Density functional theory data (GGA-PBE) for an optimized crystal structure of Rb3Sn4Bi2.

Results
* formation enthalpy at 0 K: -0.197 eV per atom
* VASP energy: -0.2323 Ry per atom

a = 4.712 Å, b = 7.758 Å, c = 10.683 Å
α = 79.34°, β = 81.03°, γ = 72.56°
Space group P-1 (No. 2)
Inequivalent atoms, fractional coordinates:
Rb 0.000 0.000 0.000 x1
Rb 0.367 0.861 0.358 x2
Sn 0.049 0.496 0.348 x2
Sn 0.305 0.424 0.931 x2
Bi 0.314 0.734 0.713 x2